# 1
Entry from Alexandria via LeMat-Bulk: a PBEsol-optimized structure of Be2SbPt (meta-GGA SCAN).

Output
The symmetry is P4/mmm (123). The calculation puts the theoretical density at 9536 kg/m3. As for the volume: 14.58 Å³ per atom.

Cell: 3.067 3.067 6.198 Å, 90.00 90.00 90.00°
Element x y z (fractional)
Sb 0.500 0.500 0.500
Pt 0.500 0.500 0.000
Be 0.000 0.000 0.824
Be 0.000 0.000 0.176

# 2
Entry from Alexandria via LeMat-Bulk: a PBEsol-optimized structure of CeNi2Sb2 (meta-GGA SCAN).

Output
The symmetry is P4/nmm (129). The calculation puts the theoretical density at 8750 kg/m3. As for the volume: 19.02 Å³ per atom.

Cell: 4.443 4.443 9.635 Å, 90.00 90.00 90.00°
Element x y z (fractional)
Sb 0.000 0.500 0.374
Sb 0.500 0.500 0.000
Sb 0.000 0.000 0.000
Sb 0.500 0.000 0.626
Ce 0.500 0.000 0.262
Ce 0.000 0.500 0.738
Ni 0.500 0.000 0.880
Ni 0.500 0.500 0.500
Ni 0.000 0.500 0.120
Ni 0.000 0.000 0.500

Number 1: magnetization 0.0 μB/f.u., raw formation energy -0.123 eV per atom. Number 2: magnetization 0.8 μB/f.u., raw formation energy -0.683 eV per atom.